The following is a DFT calculation (PBE) of a geometry-optimized NiHRu2 structure.

For the energy relative to the lowest polymorph listed for this composition, the calculation gives 0.000 eV/atom. As for the total energy: -105.9 eV for the cell shown.

The structure belongs to space group I-42d (No. 122); the cell edges are 5.842, 5.842 and 5.022 Å and the angles 90.00°, 90.00° and 90.00°. The distinct sites, in fractional coordinates, are Ni at (0.000, 0.000, 0.000), H at (0.000, 0.000, 0.500) and Ru at (0.162, 0.250, 0.625).